Entry 1:
Entry from Alexandria: Ce2P3Pd6 after structural relaxation (PBE).

Lattice parameters (Å, degrees): 7.3594 7.3594 4.1806 90.00 90.00 120.00
With the nearest neighbours (Å) after each atom.
Sites, in units of the cell vectors:
Ce  0.3333  0.6667  0.0000  9 Pd 2.99-3.28, 6 P 3.14
Ce  0.6667  0.3333  0.0000  9 Pd 2.99-3.28, 6 P 3.14
P  0.0000  0.6348  0.5000  5 Pd 2.37-2.52
P  0.3652  0.3652  0.5000  5 Pd 2.37-2.52
P  0.6348  0.0000  0.5000  5 Pd 2.37-2.52
Pd  0.0000  0.3127  0.5000  3 P 2.37-2.52
Pd  0.0000  0.7864  0.0000  2 P 2.37
Pd  0.2136  0.2136  0.0000  2 P 2.37
Pd  0.3127  0.0000  0.5000  3 P 2.37-2.52
Pd  0.6873  0.6873  0.5000  3 P 2.37-2.52
Pd  0.7864  0.0000  0.0000  2 P 2.37

Properties
Its symmetry is P-62m, No. 189. The density of states at the Fermi level comes out at 15.0 states/eV per cell.

Entry 2:
Entry from Alexandria: CeP2Pd after structural relaxation (PBE).

Lattice parameters (Å, degrees): 6.9956 4.3761 9.5298 90.00 90.00 90.00
With the nearest neighbours (Å) after each atom.
Sites, in units of the cell vectors:
Ce  0.1387  0.2500  0.1348  5 P 2.79-2.99
Ce  0.3613  0.7500  0.6348  5 P 2.79-2.99
Ce  0.6387  0.2500  0.3652  5 P 2.79-2.99
Ce  0.8613  0.7500  0.8652  5 P 2.79-2.99
P  0.1483  0.2500  0.8267  2 Pd 2.40-2.46, 2 P 2.52
P  0.2287  0.2500  0.4205  3 Pd 2.43-2.67, 2 P 2.52
P  0.2713  0.7500  0.9205  3 Pd 2.43-2.67, 2 P 2.52
P  0.3517  0.7500  0.3267  2 Pd 2.40-2.46, 2 P 2.52
P  0.6483  0.2500  0.6733  2 Pd 2.40-2.46, 2 P 2.52
P  0.7287  0.2500  0.0795  3 Pd 2.43-2.67, 2 P 2.52
P  0.7713  0.7500  0.5795  3 Pd 2.43-2.67, 2 P 2.52
P  0.8517  0.7500  0.1733  2 Pd 2.40-2.46, 2 P 2.52
Pd  0.0121  0.7500  0.3955  5 P 2.40-2.67
Pd  0.4879  0.2500  0.8955  5 P 2.40-2.67
Pd  0.5121  0.7500  0.1045  5 P 2.40-2.67
Pd  0.9879  0.2500  0.6045  5 P 2.40-2.67

Properties
Its symmetry is Pnma, No. 62. The density of states at the Fermi level comes out at 13.1 states/eV per cell.

Entry 3:
Entry from Alexandria: Ce3P4Pd4 after structural relaxation (PBE).

Lattice parameters (Å, degrees): 7.9295 7.9295 7.9295 150.95 123.56 64.72
With the nearest neighbours (Å) after each atom.
Sites, in units of the cell vectors:
Ce  0.0000  0.0000  0.0000  6 P 2.88-3.00
Ce  0.3864  0.8864  0.5000  6 P 2.95-3.01, 1 Ce 3.04, 6 Pd 3.15-3.18
Ce  0.6136  0.1136  0.5000  6 P 2.95-3.01, 1 Ce 3.04, 6 Pd 3.15-3.18
P  0.2239  0.2239  0.0000  6 Pd 2.52-2.69
P  0.2782  0.5000  0.7782  2 Pd 2.46
P  0.7218  0.5000  0.2218  2 Pd 2.46
P  0.7761  0.7761  0.0000  6 Pd 2.52-2.69
Pd  0.0120  0.3235  0.6885  4 P 2.46-2.69
Pd  0.3650  0.6765  0.6885  4 P 2.46-2.69
Pd  0.6350  0.3235  0.3115  4 P 2.46-2.69
Pd  0.9880  0.6765  0.3115  4 P 2.46-2.69

Properties
Its symmetry is Immm, No. 71. The density of states at the Fermi level comes out at 9.3 states/eV per cell. The value obtained for the offset from the most stable computed form is 0.0 meV per atom.

Entry 4:
Entry from Alexandria: Ce2P7Pd12 after structural relaxation (PBE).

Lattice parameters (Å, degrees): 9.7694 9.7694 4.0682 90.00 90.00 120.00
With the nearest neighbours (Å) after each atom.
Sites, in units of the cell vectors:
Ce  0.3333  0.6667  0.2512  6 P 3.07-3.09, 9 Pd 3.22-3.42
Ce  0.6667  0.3333  0.7488  6 P 3.07-3.09, 9 Pd 3.22-3.42
P  0.0000  0.0000  0.0000  6 Pd 2.37
P  0.1191  0.4126  0.7479  6 Pd 2.39-2.64
P  0.2936  0.8809  0.7479  6 Pd 2.39-2.64
P  0.4126  0.2936  0.2521  6 Pd 2.39-2.64
P  0.5874  0.7064  0.7479  6 Pd 2.39-2.64
P  0.7064  0.1191  0.2521  6 Pd 2.39-2.64
P  0.8809  0.5874  0.2521  6 Pd 2.39-2.64
Pd  0.0571  0.6208  0.7523  4 P 2.39-2.58
Pd  0.1025  0.8534  0.2627  3 P 2.37-2.64
Pd  0.1466  0.2492  0.2627  3 P 2.37-2.64
Pd  0.2492  0.1025  0.7373  3 P 2.37-2.64
Pd  0.3792  0.4363  0.7523  4 P 2.39-2.58
Pd  0.4363  0.0571  0.2477  4 P 2.39-2.58
Pd  0.5637  0.9429  0.7523  4 P 2.39-2.58
Pd  0.6208  0.5637  0.2477  4 P 2.39-2.58
Pd  0.7508  0.8975  0.2627  3 P 2.37-2.64
Pd  0.8534  0.7508  0.7373  3 P 2.37-2.64
Pd  0.8975  0.1466  0.7373  3 P 2.37-2.64
Pd  0.9429  0.3792  0.2477  4 P 2.39-2.58

Properties
Its symmetry is P-3, No. 147. The density of states at the Fermi level comes out at 21.0 states/eV per cell.

Entry 5:
Entry from Alexandria: Ce2P3Pd2 after structural relaxation (PBE).

Lattice parameters (Å, degrees): 7.6433 7.6433 11.3538 124.06 124.06 30.46
With the nearest neighbours (Å) after each atom.
Sites, in units of the cell vectors:
Ce  0.1076  0.1076  0.4496  7 P 2.83-3.04, 1 Pd 3.13
Ce  0.2349  0.2349  0.8382  6 P 2.83-3.01
Ce  0.7651  0.7651  0.1618  6 P 2.83-3.01
Ce  0.8924  0.8924  0.5504  7 P 2.83-3.04, 1 Pd 3.13
P  0.1187  0.1187  0.9697  4 Pd 2.45-2.46
P  0.3356  0.3356  0.6855  3 Pd 2.48-2.56
P  0.4283  0.4283  0.3796  1 P 2.29, 1 Pd 2.44
P  0.5717  0.5717  0.6204  1 P 2.29, 1 Pd 2.44
P  0.6644  0.6644  0.3145  3 Pd 2.48-2.56
P  0.8813  0.8813  0.0303  4 Pd 2.45-2.46
Pd  0.0835  0.0835  0.1570  4 P 2.45-2.48
Pd  0.4528  0.4528  0.1849  4 P 2.44-2.56
Pd  0.5472  0.5472  0.8151  4 P 2.44-2.56
Pd  0.9165  0.9165  0.8430  4 P 2.45-2.48

Properties
Its symmetry is C2/m, No. 12. The density of states at the Fermi level comes out at 15.9 states/eV per cell.

Entry 6:
Entry from Alexandria: CeP3Pd after structural relaxation (PBE).

Lattice parameters (Å, degrees): 11.7916 5.4619 5.6075 90.00 90.00 90.00
With the nearest neighbours (Å) after each atom.
Sites, in units of the cell vectors:
Ce  0.1866  0.0036  0.2500  9 P 2.87-2.97
Ce  0.1866  0.4964  0.7500  9 P 2.87-2.97
Ce  0.8134  0.5036  0.2500  9 P 2.87-2.97
Ce  0.8134  0.9964  0.7500  9 P 2.87-2.97
P  0.0010  0.7500  0.0000  4 P 2.73-2.80, 4 Ce 2.94-2.95
P  0.0010  0.7500  0.5000  4 P 2.73-2.80, 4 Ce 2.94-2.95
P  0.2687  0.9997  0.7500  2 Pd 2.64, 1 P 2.72, 2 Ce 2.88-2.91
P  0.2687  0.5003  0.2500  2 Pd 2.64, 1 P 2.72, 2 Ce 2.88-2.91
P  0.4231  0.1295  0.2500  4 Pd 2.42-2.50
P  0.4231  0.3705  0.7500  4 Pd 2.42-2.50
P  0.5769  0.6295  0.2500  4 Pd 2.42-2.50
P  0.5769  0.8705  0.7500  4 Pd 2.42-2.50
P  0.7313  0.0003  0.2500  2 Pd 2.64, 1 P 2.72, 2 Ce 2.88-2.91
P  0.7313  0.4997  0.7500  2 Pd 2.64, 1 P 2.72, 2 Ce 2.88-2.91
P  0.9990  0.2500  0.0000  4 P 2.73-2.80, 4 Ce 2.94-2.95
P  0.9990  0.2500  0.5000  4 P 2.73-2.80, 4 Ce 2.94-2.95
Pd  0.4194  0.7500  0.0000  6 P 2.42-2.64
Pd  0.4194  0.7500  0.5000  6 P 2.42-2.64
Pd  0.5806  0.2500  0.0000  6 P 2.42-2.64
Pd  0.5806  0.2500  0.5000  6 P 2.42-2.64

Properties
Its symmetry is Pbcm, No. 57. The density of states at the Fermi level comes out at 13.1 states/eV per cell.

Entry 7:
Entry from Alexandria: CeP4Pd6 after structural relaxation (PBE).

Lattice parameters (Å, degrees): 6.3585 6.3585 6.3585 117.45 117.45 94.47
With the nearest neighbours (Å) after each atom.
Sites, in units of the cell vectors:
Ce  0.0000  0.0000  0.0000  4 P 2.88
P  0.1512  0.1512  0.5669  4 Pd 2.33-2.46
P  0.4158  0.8488  0.0000  4 Pd 2.33-2.46
P  0.5842  0.5842  0.4331  4 Pd 2.33-2.46
P  0.8488  0.4158  0.0000  4 Pd 2.33-2.46
Pd  0.0000  0.5000  0.5000  4 P 2.62, 4 Pd 2.79
Pd  0.2100  0.5091  0.0000  4 P 2.33-2.46
Pd  0.4909  0.4909  0.7009  4 P 2.33-2.46
Pd  0.5000  0.0000  0.5000  4 P 2.62, 4 Pd 2.79
Pd  0.5091  0.2100  0.0000  4 P 2.33-2.46
Pd  0.7900  0.7900  0.2991  4 P 2.33-2.46

Properties
Its symmetry is I-42m, No. 121. The density of states at the Fermi level comes out at 9.5 states/eV per cell.

Entry 8:
Entry from Alexandria: CePPd after structural relaxation (PBE).

Lattice parameters (Å, degrees): 4.2098 4.2098 7.8478 90.00 90.00 120.00
With the nearest neighbours (Å) after each atom.
Sites, in units of the cell vectors:
Ce  0.0000  0.0000  0.0000  6 Pd 3.12, 6 P 3.12
Ce  0.0000  0.0000  0.5000  6 Pd 3.12, 6 P 3.12
P  0.3333  0.6667  0.2500  3 Pd 2.43
P  0.6667  0.3333  0.7500  3 Pd 2.43
Pd  0.3333  0.6667  0.7500  3 P 2.43
Pd  0.6667  0.3333  0.2500  3 P 2.43

Properties
Its symmetry is P6_3/mmc, No. 194. The density of states at the Fermi level comes out at 10.3 states/eV per cell.

no.,E (eV/atom),formation enthalpy at 0 K (meV per atom)
1,-6.259,-872
2,-6.417,-930
3,-6.564,-1090
4,-6.031,-695
5,-6.579,-1081
6,-6.140,-669
7,-5.938,-599
8,-6.707,-1194